## AcNiF (PBE+U)

Data for a relaxed AcNiF crystal.

a = 4.185 Å, b = 4.185 Å, c = 9.367 Å
α = 90.00°, β = 90.00°, γ = 120.00°
Atoms (fractional coordinates):
Ac (0.333, 0.667, 0.160)
Ac (0.333, 0.667, 0.738)
F (0.667, 0.333, 0.658)
F (0.667, 0.333, 0.240)
Ni (0.667, 0.333, 0.949)
Ni (0.333, 0.667, 0.449)

total energy = -10.8 eV per formula unit
SG = P-6m2, No. 187
density = 7.12 g/cm3